First-principles (PBE) data for LaLuAlCd after structural relaxation, as listed in Alexandria.

It has space group F-43m (No. 216), with a = 7.5010 Å, b = 7.5010 Å, c = 7.5010 Å, α = 90.00°, β = 90.00° and γ = 90.00°. Symmetry generates all atoms from La at (0.0000, 0.0000, 0.0000), Lu at (0.0000, 0.0000, 0.5000), Al at (0.2500, 0.2500, 0.7500) and Cd at (0.2500, 0.2500, 0.2500).

The formation energy from the elements is -7.3 kcal/mol of atoms. As for the total DFT energy (no corrections): -3.8450 eV/atom.